(1)
Here is an optimized crystal structure of LiDySnTe3 from the Alexandria database. Energies are from PBE-GGA.

Properties
E_form (uncorrected): -0.869 eV per atom

Cell lengths 9.193, 4.234, 9.686 Å; angles 90.00, 101.80, 90.00 degrees
Atoms (fractional coordinates):
Li: 0.090 0.250 0.089
Li: 0.910 0.750 0.911
Dy: 0.171 0.250 0.726
Dy: 0.829 0.750 0.274
Sn: 0.337 0.750 0.335
Sn: 0.663 0.250 0.665
Te: 0.089 0.250 0.381
Te: 0.219 0.750 0.974
Te: 0.402 0.750 0.656
Te: 0.598 0.250 0.344
Te: 0.781 0.250 0.026
Te: 0.911 0.750 0.619


(2)
Here is an optimized crystal structure of LiDyTlSn from the Alexandria database. Energies are from PBE-GGA.

Properties
Calculated formation energy: -145 kJ/mol of formula units

Cell lengths 5.187, 5.187, 5.187 Å; angles 60.00, 60.00, 60.00 degrees
Atoms (fractional coordinates):
Li: 0.000 0.000 0.000
Dy: 0.500 0.500 0.500
Tl: 0.250 0.250 0.250
Sn: 0.750 0.750 0.750


Calculated total magnetic moment, 0.000 0.000 μB per atom (same order as the records).